Ho2SiGePt6: relaxed, PBE-GGA.

a = 5.5395 Å, b = 8.2105 Å, c = 8.5426 Å
α = 90.00°, β = 90.00°, γ = 90.00°
Closest atoms and distances in Å follow each position.
Sites, in units of the cell vectors:
1 Pt 0.0000 0.8808 0.2497  1 Si 2.40, 1 Ge 2.47
2 Ho 0.5000 0.7352 0.2474  11 Pt 3.02-3.37
3 Pt 0.2505 0.9980 0.0000  1 Si 2.48, 1 Ge 2.62, 6 Pt 2.72-2.77
4 Ho 0.0000 0.2648 0.7474  11 Pt 3.02-3.37
5 Si 0.0000 0.7472 0.0000  6 Pt 2.35-2.48
6 Pt 0.2495 0.0020 0.5000  1 Si 2.48, 1 Ge 2.62, 6 Pt 2.72-2.77
7 Pt 0.5000 0.1192 0.2503  1 Si 2.40, 1 Ge 2.47
8 Ho 0.0000 0.2648 0.2526  11 Pt 3.02-3.37
9 Pt 0.7494 0.4847 0.5000  1 Si 2.35, 1 Ge 2.45
10 Ge 0.5000 0.2691 0.0000  6 Pt 2.45-2.62
11 Pt 0.2506 0.4847 0.5000  1 Si 2.35, 1 Ge 2.45
12 Si 0.5000 0.2528 0.5000  6 Pt 2.35-2.48
13 Pt 0.0000 0.8808 0.7503  1 Si 2.40, 1 Ge 2.47
14 Pt 0.7495 0.9980 0.0000  1 Si 2.48, 1 Ge 2.62, 6 Pt 2.72-2.77
15 Pt 0.7505 0.0020 0.5000  1 Si 2.48, 1 Ge 2.62, 6 Pt 2.72-2.77
16 Pt 0.7506 0.5153 0.0000  1 Si 2.35, 1 Ge 2.45
17 Ho 0.5000 0.7352 0.7526  11 Pt 3.02-3.37
18 Pt 0.2494 0.5153 0.0000  1 Si 2.35, 1 Ge 2.45
19 Pt 0.5000 0.1192 0.7497  1 Si 2.40, 1 Ge 2.47
20 Ge 0.0000 0.7309 0.5000  6 Pt 2.45-2.62

Values from the calculation:
- Uncorrected formation energy: -0.91 eV per atom
- M_tot: 0.00 μB/cell